No. 1
Compound: Y3CuCl
Source: Alexandria via LeMat-Bulk
Functional: GGA-PBE
Structure: relaxed

Its final energy is -5.249 eV per atom. The uncorrected formation energy is -0.182 eV/atom. The value obtained for the energy above the most stable polymorph in this dataset is 0 meV per atom.

The structure belongs to space group Pm-3m (No. 221); the cell edges are 5.0977, 5.0977 and 5.0977 Å and the angles 90.00°, 90.00° and 90.00°. The asymmetric unit holds Y at (0.0000, 0.0000, 0.5000), Cu at (0.5000, 0.5000, 0.5000) and Cl at (0.0000, 0.0000, 0.0000).

***

No. 2
Compound: LiScOs2
Source: Alexandria via LeMat-Bulk
Functional: GGA-PBE
Structure: relaxed

The formation energy comes out at 0.0478 eV per atom. Its final energy is -7.628 eV per atom. The value obtained for the energy above the most stable polymorph in this dataset is 81 meV per atom.

The structure belongs to space group C2/m (No. 12); the cell edges are 5.3865, 8.9200 and 2.7581 Å and the angles 90.00°, 115.39° and 90.00°. The asymmetric unit holds Li at (0.0000, 0.0000, 0.0000), Sc at (0.0000, 0.5000, 0.0000) and Os at (0.2500, 0.2500, 0.5000).

***

No. 3
Compound: LiLaCl2
Source: Alexandria via LeMat-Bulk
Functional: GGA-PBE
Structure: relaxed

Its final energy is -3.956 eV per atom. The uncorrected formation energy is -1.323 eV/atom. The value obtained for the energy above the most stable polymorph in this dataset is 347 meV per atom.

The structure belongs to space group C2/m (No. 12); the cell edges are 7.1869, 8.8469 and 3.7285 Å and the angles 90.00°, 116.26° and 90.00°. The asymmetric unit holds Li at (0.0000, 0.0000, 0.0000), La at (0.0000, 0.5000, 0.0000) and Cl at (0.2500, 0.2500, 0.0000).